ScGaSnPd after structural relaxation, computed with PBE.

Cell: 4.762 4.762 4.762 Å, 60.00 60.00 60.00°
Sites, in units of the cell vectors:
Sn1 0.500 0.500 0.500
Ga1 0.750 0.750 0.750
Pd1 0.250 0.250 0.250
Sc1 0.000 0.000 0.000

As for the final energy: -20.73 eV for the cell shown. Its energy of formation from the pure elements is -0.544 eV per atom.

***

Sr2ScGa3Pd4 after structural relaxation, computed with PBE.

Cell: 4.360 4.360 11.080 Å, 90.00 90.00 90.00°
Sites, in units of the cell vectors:
Ga1 0.500 0.000 0.879
Ga2 0.000 0.500 0.121
Ga3 0.000 0.000 0.500
Sr1 0.500 0.000 0.236
Sr2 0.000 0.500 0.764
Sc1 0.500 0.500 0.500
Pd1 0.500 0.000 0.645
Pd2 0.500 0.500 0.000
Pd3 0.000 0.000 0.000
Pd4 0.000 0.500 0.355

As for the final energy: -46.87 eV for the cell shown. Its energy of formation from the pure elements is -0.732 eV per atom.

***

TbScGa2Pd2 after structural relaxation, computed with PBE.

Cell: 4.463 4.463 6.572 Å, 90.00 90.00 120.00°
Sites, in units of the cell vectors:
Pd1 0.667 0.333 0.279
Pd2 0.333 0.667 0.721
Ga1 0.333 0.667 0.281
Ga2 0.667 0.333 0.719
Tb1 0.000 0.000 0.000
Sc1 0.000 0.000 0.500

As for the final energy: -32.58 eV for the cell shown. Its energy of formation from the pure elements is -0.863 eV per atom.

***

TbSc2GaPd4 after structural relaxation, computed with PBE.

Cell: 4.638 4.638 8.335 Å, 73.85 73.85 60.00°
Sites, in units of the cell vectors:
Tb1 0.000 0.000 0.000
Pd1 0.873 0.873 0.380
Pd2 0.127 0.127 0.620
Pd3 0.390 0.390 0.829
Pd4 0.610 0.610 0.171
Ga1 0.500 0.500 0.500
Sc1 0.242 0.242 0.274
Sc2 0.758 0.758 0.726

As for the final energy: -47.71 eV for the cell shown. Its energy of formation from the pure elements is -0.827 eV per atom.

***

Q: energy of formation from the pure elements of number 3 (TbScGa2Pd2)?
A: -0.863 eV per atom